[1]
Here is a relaxed structure of ScMo2Se from Alexandria via LeMat-Bulk. Energies are from GGA-PBE.

## Properties
M_tot = 0.000 μB/cell
symmetry = I-42d
formation energy without anion corrections = 28.7 kJ per mole of atoms
polymorph energy (0 for the lowest one) = 377 meV/atom
volume = 77.0 Å³/f.u.

Unit cell a=6.081 b=6.081 c=6.081 alpha=99.78 beta=99.78 gamma=131.31
Fractional coordinates of all 8 atoms:
Sc  0.000  0.000  0.000
Sc  0.750  0.250  0.500
Mo  0.200  0.625  0.075
Mo  0.375  0.450  0.575
Mo  0.550  0.125  0.925
Mo  0.875  0.800  0.425
Se  0.250  0.750  0.500
Se  0.500  0.500  0.000

***

[2]
Here is a relaxed structure of PrDy3Pd from Alexandria via LeMat-Bulk. Energies are from GGA-PBE.

## Properties
formation enthalpy at 0 K = -1.674 eV per formula unit
M_tot = 0.000 μB/cell
symmetry = C2/m
polymorph energy (0 for the lowest one) = 0 meV/atom
volume = 147.7 Å³/f.u.

Unit cell a=6.982 b=6.982 c=11.857 alpha=94.53 beta=94.53 gamma=30.85
Fractional coordinates of all 10 atoms:
Pr  0.164  0.164  0.406
Pr  0.836  0.836  0.594
Dy  0.038  0.038  0.144
Dy  0.231  0.231  0.856
Dy  0.426  0.426  0.358
Dy  0.574  0.574  0.642
Dy  0.769  0.769  0.144
Dy  0.962  0.962  0.856
Pd  0.396  0.396  0.036
Pd  0.604  0.604  0.964

***

[3]
Here is a relaxed structure of SrLiCd2 from Alexandria via LeMat-Bulk. Energies are from GGA-PBE.

## Properties
formation enthalpy at 0 K = -0.634 eV per formula unit
M_tot = 0.000 μB/cell
symmetry = Pmm2
polymorph energy (0 for the lowest one) = 111 meV/atom
volume = 109.2 Å³/f.u.

Unit cell a=3.690 b=4.018 c=7.365 alpha=90.00 beta=90.00 gamma=90.00
Fractional coordinates of all 4 atoms:
Sr  0.000  0.000  0.000
Li  0.500  0.500  0.672
Cd  0.000  0.000  0.513
Cd  0.500  0.500  0.281

***

[4]
Here is a relaxed structure of MnNi9Sn2 from Alexandria via LeMat-Bulk. Energies are from GGA-PBE.

## Properties
formation enthalpy at 0 K = -1.699 eV per formula unit
M_tot = 5.072 μB/cell
symmetry = P4/mmm
volume = 149.4 Å³/f.u.

Unit cell a=3.697 b=3.697 c=10.932 alpha=90.00 beta=90.00 gamma=90.00
Fractional coordinates of all 12 atoms:
Mn  0.000  0.000  0.000
Ni  0.000  0.500  0.155
Ni  0.000  0.500  0.500
Ni  0.000  0.500  0.845
Ni  0.500  0.000  0.155
Ni  0.500  0.000  0.500
Ni  0.500  0.000  0.845
Ni  0.500  0.500  0.000
Ni  0.500  0.500  0.329
Ni  0.500  0.500  0.671
Sn  0.000  0.000  0.327
Sn  0.000  0.000  0.673

***

[5]
Here is a relaxed structure of CsBa2Na2 from Alexandria via LeMat-Bulk. Energies are from GGA-PBE.

## Properties
formation enthalpy at 0 K = 0.383 eV per formula unit
M_tot = 0.000 μB/cell
symmetry = P4/mbm
polymorph energy (0 for the lowest one) = 0 meV/atom
volume = 303.1 Å³/f.u.

Unit cell a=11.107 b=11.107 c=4.914 alpha=90.00 beta=90.00 gamma=90.00
Fractional coordinates of all 10 atoms:
Cs  0.000  0.000  0.000
Cs  0.500  0.500  0.000
Ba  0.155  0.345  0.500
Ba  0.345  0.845  0.500
Ba  0.655  0.155  0.500
Ba  0.845  0.655  0.500
Na  0.133  0.633  0.000
Na  0.367  0.133  0.000
Na  0.633  0.867  0.000
Na  0.867  0.367  0.000

***

[6]
Here is a relaxed structure of Pm5Cd2Tc from Alexandria via LeMat-Bulk. Energies are from GGA-PBE.

## Properties
formation enthalpy at 0 K = -1.010 eV per formula unit
M_tot = 0.000 μB/cell
symmetry = Pbam
volume = 225.5 Å³/f.u.

Unit cell a=6.796 b=12.600 c=5.268 alpha=90.00 beta=90.00 gamma=90.00
Fractional coordinates of all 16 atoms:
Pm  0.000  0.000  0.000
Pm  0.126  0.288  0.000
Pm  0.158  0.600  0.500
Pm  0.342  0.100  0.500
Pm  0.374  0.788  0.000
Pm  0.500  0.500  0.000
Pm  0.626  0.212  0.000
Pm  0.658  0.900  0.500
Pm  0.842  0.400  0.500
Pm  0.874  0.712  0.000
Cd  0.126  0.858  0.500
Cd  0.374  0.358  0.500
Cd  0.626  0.642  0.500
Cd  0.874  0.142  0.500
Tc  0.000  0.500  0.000
Tc  0.500  0.000  0.000

***

[7]
Here is a relaxed structure of TlZnGa6 from Alexandria via LeMat-Bulk. Energies are from GGA-PBE.

## Properties
formation enthalpy at 0 K = 0.115 eV per formula unit
M_tot = 0.000 μB/cell
symmetry = P4/mmm
volume = 166.9 Å³/f.u.

Unit cell a=4.426 b=4.426 c=8.519 alpha=90.00 beta=90.00 gamma=90.00
Fractional coordinates of all 8 atoms:
Tl  0.000  0.000  0.000
Zn  0.000  0.000  0.500
Ga  0.000  0.500  0.327
Ga  0.000  0.500  0.673
Ga  0.500  0.000  0.327
Ga  0.500  0.000  0.673
Ga  0.500  0.500  0.151
Ga  0.500  0.500  0.849

***

[8]
Here is a relaxed structure of Fe3Pt from Alexandria via LeMat-Bulk. Energies are from GGA-PBE.

## Properties
formation enthalpy at 0 K = -0.214 eV per formula unit
M_tot = 8.708 μB/cell
symmetry = R-3m
volume = 52.8 Å³/f.u.

Unit cell a=4.908 b=4.908 c=4.908 alpha=116.93 beta=116.93 gamma=116.93
Fractional coordinates of all 4 atoms:
Fe  0.000  0.500  0.500
Fe  0.500  0.000  0.500
Fe  0.500  0.500  0.000
Pt  0.000  0.000  0.000

***

[9]
Here is a relaxed structure of SiHgAu3 from Alexandria via LeMat-Bulk. Energies are from GGA-PBE.

## Properties
M_tot = 0.000 μB/cell
symmetry = Pm-3m
formation energy without anion corrections = 21.0 kJ per mole of atoms
polymorph energy (0 for the lowest one) = 231 meV/atom
volume = 112.6 Å³/f.u.

Unit cell a=4.829 b=4.829 c=4.829 alpha=90.00 beta=90.00 gamma=90.00
Fractional coordinates of all 5 atoms:
Si  0.000  0.000  0.000
Hg  0.500  0.500  0.500
Au  0.000  0.000  0.500
Au  0.000  0.500  0.000
Au  0.500  0.000  0.000

***

[10]
Here is a relaxed structure of Rb3TbTe2O9 from Alexandria via LeMat-Bulk. Energies are from GGA-PBE.

## Properties
M_tot = 0.000 μB/cell
symmetry = P-3m1
formation energy without anion corrections = -156.8 kJ per mole of atoms
volume = 221.3 Å³/f.u.

Unit cell a=5.925 b=5.925 c=7.281 alpha=90.00 beta=90.00 gamma=120.00
Fractional coordinates of all 15 atoms:
Rb  0.000  0.000  0.000
Rb  0.333  0.667  0.667
Rb  0.667  0.333  0.333
Tb  0.000  0.000  0.500
Te  0.333  0.667  0.168
Te  0.667  0.333  0.832
O  0.000  0.500  0.000
O  0.178  0.356  0.314
O  0.178  0.822  0.314
O  0.356  0.178  0.686
O  0.500  0.000  0.000
O  0.500  0.500  0.000
O  0.644  0.822  0.314
O  0.822  0.178  0.686
O  0.822  0.644  0.686

***

[11]
Here is a relaxed structure of TaSiBiBr2 from Alexandria via LeMat-Bulk. Energies are from GGA-PBE.

## Properties
M_tot = 1.959 μB/cell
symmetry = P4/mmm
formation energy without anion corrections = 137.1 kJ per mole of atoms
volume = 180.5 Å³/f.u.

Unit cell a=5.586 b=5.586 c=5.785 alpha=90.00 beta=90.00 gamma=90.00
Fractional coordinates of all 5 atoms:
Ta  0.000  0.000  0.000
Si  0.500  0.500  0.000
Bi  0.000  0.000  0.500
Br  0.000  0.500  0.500
Br  0.500  0.000  0.500

***

[12]
Here is a relaxed structure of TmTaFe4 from Alexandria via LeMat-Bulk. Energies are from GGA-PBE.

## Properties
formation enthalpy at 0 K = -0.776 eV per formula unit
M_tot = 6.572 μB/cell
symmetry = F-43m
polymorph energy (0 for the lowest one) = 18 meV/atom
volume = 86.2 Å³/f.u.

Unit cell a=4.957 b=4.957 c=4.957 alpha=60.00 beta=60.00 gamma=60.00
Fractional coordinates of all 6 atoms:
Tm  0.000  0.000  0.000
Ta  0.750  0.750  0.750
Fe  0.376  0.376  0.376
Fe  0.376  0.376  0.873
Fe  0.376  0.873  0.376
Fe  0.873  0.376  0.376

***

[13]
Here is a relaxed structure of ZnCrAsCl2 from Alexandria via LeMat-Bulk. Energies are from GGA-PBE.

## Properties
M_tot = 5.361 μB/cell
symmetry = P4/mmm
formation energy without anion corrections = 38.3 kJ per mole of atoms
volume = 131.4 Å³/f.u.

Unit cell a=5.091 b=5.091 c=5.068 alpha=90.00 beta=90.00 gamma=90.00
Fractional coordinates of all 5 atoms:
Zn  0.000  0.000  0.000
Cr  0.500  0.500  0.000
As  0.000  0.000  0.500
Cl  0.000  0.500  0.500
Cl  0.500  0.000  0.500

***

[14]
Here is a relaxed structure of La7Th2 from Alexandria via LeMat-Bulk. Energies are from GGA-PBE.

## Properties
formation enthalpy at 0 K = 0.206 eV per formula unit
M_tot = 0.000 μB/cell
symmetry = P-31m
volume = 318.2 Å³/f.u.

Unit cell a=6.364 b=6.364 c=9.071 alpha=90.00 beta=90.00 gamma=120.00
Fractional coordinates of all 9 atoms:
La  0.000  0.000  0.000
La  0.000  0.348  0.680
La  0.000  0.652  0.320
La  0.348  0.000  0.680
La  0.348  0.348  0.320
La  0.652  0.000  0.320
La  0.652  0.652  0.680
Th  0.333  0.667  0.000
Th  0.667  0.333  0.000

***

[15]
Here is a relaxed structure of GaSbN2F from Alexandria via LeMat-Bulk. Energies are from GGA-PBE.

## Properties
M_tot = 0.272 μB/cell
symmetry = P4/mmm
formation energy without anion corrections = 16.3 kJ per mole of atoms
polymorph energy (0 for the lowest one) = 0 meV/atom
volume = 61.5 Å³/f.u.

Unit cell a=3.992 b=3.992 c=3.859 alpha=90.00 beta=90.00 gamma=90.00
Fractional coordinates of all 5 atoms:
Ga  0.000  0.000  0.000
Sb  0.500  0.500  0.500
N  0.000  0.500  0.000
N  0.500  0.000  0.000
F  0.000  0.000  0.500

***

[16]
Here is a relaxed structure of VSb4 from Alexandria via LeMat-Bulk. Energies are from GGA-PBE.

## Properties
M_tot = 1.563 μB/cell
symmetry = Pm-3m
formation energy without anion corrections = 35.0 kJ per mole of atoms
volume = 137.6 Å³/f.u.

Unit cell a=5.163 b=5.163 c=5.163 alpha=90.00 beta=90.00 gamma=90.00
Fractional coordinates of all 5 atoms:
V  0.000  0.000  0.000
Sb  0.000  0.000  0.500
Sb  0.000  0.500  0.000
Sb  0.500  0.000  0.000
Sb  0.500  0.500  0.500

***

[17]
Here is a relaxed structure of Ba3SnB from Alexandria via LeMat-Bulk. Energies are from GGA-PBE.

## Properties
formation enthalpy at 0 K = 3.919 eV per formula unit
M_tot = 2.772 μB/cell
symmetry = Pm-3m
volume = 295.3 Å³/f.u.

Unit cell a=6.659 b=6.659 c=6.659 alpha=90.00 beta=90.00 gamma=90.00
Fractional coordinates of all 5 atoms:
Ba  0.000  0.000  0.500
Ba  0.000  0.500  0.000
Ba  0.500  0.000  0.000
Sn  0.000  0.000  0.000
B  0.500  0.500  0.500

***

[18]
Here is a relaxed structure of BaErAgS3 from Alexandria via LeMat-Bulk. Energies are from GGA-PBE.

## Properties
M_tot = 0.000 μB/cell
symmetry = C2/m
formation energy without anion corrections = -155.2 kJ per mole of atoms
volume = 149.0 Å³/f.u.

Unit cell a=9.011 b=9.011 c=8.572 alpha=102.27 beta=102.27 gamma=26.01
Fractional coordinates of all 12 atoms:
Ba  0.135  0.135  0.072
Ba  0.865  0.865  0.928
Er  0.164  0.164  0.580
Er  0.836  0.836  0.420
Ag  0.478  0.478  0.290
Ag  0.522  0.522  0.710
S  0.000  0.000  0.500
S  0.323  0.323  0.200
S  0.324  0.324  0.629
S  0.500  0.500  0.000
S  0.676  0.676  0.371
S  0.677  0.677  0.800

***

[19]
Here is a relaxed structure of Tl2FeCoP from Alexandria via LeMat-Bulk. Energies are from GGA-PBE.

## Properties
formation enthalpy at 0 K = 4.930 eV per formula unit
M_tot = 3.906 μB/cell
symmetry = P4/mmm
volume = 118.2 Å³/f.u.

Unit cell a=5.312 b=5.312 c=4.189 alpha=90.00 beta=90.00 gamma=90.00
Fractional coordinates of all 5 atoms:
Tl  0.000  0.500  0.000
Tl  0.500  0.000  0.000
Fe  0.000  0.000  0.500
Co  0.500  0.500  0.500
P  0.000  0.000  0.000